1.
The following is a GGA-PBEsol calculation of a geometry-optimized Hf4Co4Si7 structure, from Alexandria via LeMat-Bulk.

DFT total energy	-8.438	eV/atom
formation energy without anion corrections	-1291	kJ/mol of formula units
symmetry	No. 139

Lattice parameters (Å, degrees): 9.344 9.344 9.344 94.08 94.08 149.05
Element x y z (fractional)
Hf (0.000, 0.196, 0.196)
Hf (0.000, 0.804, 0.804)
Hf (0.196, 0.000, 0.196)
Hf (0.363, 0.363, 0.725)
Hf (0.363, 0.637, 0.000)
Hf (0.637, 0.363, 0.000)
Hf (0.637, 0.637, 0.275)
Hf (0.804, 0.000, 0.804)
Co (0.102, 0.602, 0.204)
Co (0.102, 0.898, 0.500)
Co (0.398, 0.602, 0.500)
Co (0.398, 0.898, 0.796)
Co (0.602, 0.102, 0.204)
Co (0.602, 0.398, 0.500)
Co (0.898, 0.102, 0.500)
Co (0.898, 0.398, 0.796)
Si (0.000, 0.408, 0.408)
Si (0.000, 0.592, 0.592)
Si (0.199, 0.500, 0.699)
Si (0.210, 0.210, 0.420)
Si (0.210, 0.790, 0.000)
Si (0.249, 0.249, 0.000)
Si (0.408, 0.000, 0.408)
Si (0.500, 0.199, 0.699)
Si (0.500, 0.801, 0.301)
Si (0.592, 0.000, 0.592)
Si (0.751, 0.751, 0.000)
Si (0.790, 0.210, 0.000)
Si (0.790, 0.790, 0.580)
Si (0.801, 0.500, 0.301)



2.
The following is a GGA-PBEsol calculation of a geometry-optimized HfCo2Si2 structure, from Alexandria via LeMat-Bulk.

DFT total energy	-8.332	eV/atom
formation energy without anion corrections	-404	kJ/mol of formula units
symmetry	No. 139

Lattice parameters (Å, degrees): 5.426 5.426 5.426 140.26 140.26 57.46
Element x y z (fractional)
Hf (0.000, 0.000, 0.000)
Co (0.250, 0.750, 0.500)
Co (0.750, 0.250, 0.500)
Si (0.379, 0.379, 0.000)
Si (0.621, 0.621, 0.000)



3.
The following is a GGA-PBEsol calculation of a geometry-optimized HfCoSi structure, from Alexandria via LeMat-Bulk.

DFT total energy	-8.922	eV/atom
formation energy without anion corrections	-268	kJ/mol of formula units
symmetry	No. 62

Lattice parameters (Å, degrees): 6.332 3.795 6.997 90.00 90.00 90.00
Element x y z (fractional)
Hf (0.007, 0.250, 0.194)
Hf (0.493, 0.750, 0.694)
Hf (0.507, 0.250, 0.306)
Hf (0.993, 0.750, 0.806)
Co (0.145, 0.250, 0.569)
Co (0.355, 0.750, 0.069)
Co (0.645, 0.250, 0.931)
Co (0.855, 0.750, 0.431)
Si (0.219, 0.750, 0.394)
Si (0.281, 0.250, 0.894)
Si (0.719, 0.750, 0.106)
Si (0.781, 0.250, 0.606)



4.
The following is a GGA-PBEsol calculation of a geometry-optimized HfCoTe2 structure, from Alexandria via LeMat-Bulk.

DFT total energy	-6.310	eV/atom
formation energy without anion corrections	5	kJ/mol of formula units
symmetry	No. 225

Lattice parameters (Å, degrees): 4.802 4.802 4.802 60.00 60.00 60.00
Element x y z (fractional)
Hf (0.000, 0.000, 0.000)
Co (0.500, 0.500, 0.500)
Te (0.250, 0.250, 0.250)
Te (0.750, 0.750, 0.750)



5.
The following is a GGA-PBEsol calculation of a geometry-optimized HfTi2Co2 structure, from Alexandria via LeMat-Bulk.

DFT total energy	-8.783	eV/atom
ΔH_f (0 K)	-1.3	eV/f.u.
symmetry	No. 139

Lattice parameters (Å, degrees): 5.505 5.505 5.505 137.45 137.45 61.75
Element x y z (fractional)
Hf (0.000, 0.000, 0.000)
Ti (0.250, 0.750, 0.500)
Ti (0.750, 0.250, 0.500)
Co (0.387, 0.387, 0.000)
Co (0.613, 0.613, 0.000)



6.
The following is a GGA-PBEsol calculation of a geometry-optimized Hf2TiCo2 structure, from Alexandria via LeMat-Bulk.

DFT total energy	-9.244	eV/atom
ΔH_f (0 K)	-1.4	eV/f.u.
symmetry	No. 127

Lattice parameters (Å, degrees): 6.841 6.841 3.312 90.00 90.00 90.00
Element x y z (fractional)
Hf (0.170, 0.330, 0.000)
Hf (0.330, 0.830, 0.000)
Hf (0.670, 0.170, 0.000)
Hf (0.830, 0.670, 0.000)
Ti (0.000, 0.000, 0.500)
Ti (0.500, 0.500, 0.500)
Co (0.129, 0.629, 0.500)
Co (0.371, 0.129, 0.500)
Co (0.629, 0.871, 0.500)
Co (0.871, 0.371, 0.500)



7.
The following is a GGA-PBEsol calculation of a geometry-optimized HfCo2W structure, from Alexandria via LeMat-Bulk.

DFT total energy	-9.947	eV/atom
ΔH_f (0 K)	0.0	eV/f.u.
symmetry	No. 225

Lattice parameters (Å, degrees): 4.299 4.299 4.299 60.00 60.00 60.00
Element x y z (fractional)
Hf (0.000, 0.000, 0.000)
Co (0.250, 0.250, 0.250)
Co (0.750, 0.750, 0.750)
W (0.500, 0.500, 0.500)



8.
The following is a GGA-PBEsol calculation of a geometry-optimized HfZn2CoW structure, from Alexandria via LeMat-Bulk.

DFT total energy	-5.420	eV/atom
ΔH_f (0 K)	8.1	eV/f.u.
symmetry	No. 123

Lattice parameters (Å, degrees): 4.782 4.782 4.750 90.00 90.00 90.00
Element x y z (fractional)
Hf (0.000, 0.000, 0.000)
Zn (0.000, 0.500, 0.500)
Zn (0.500, 0.000, 0.500)
Co (0.500, 0.500, 0.000)
W (0.000, 0.000, 0.500)



9.
The following is a GGA-PBEsol calculation of a geometry-optimized HfZnCo2 structure, from Alexandria via LeMat-Bulk.

DFT total energy	-7.247	eV/atom
ΔH_f (0 K)	-1.4	eV/f.u.
symmetry	No. 225

Lattice parameters (Å, degrees): 4.176 4.176 4.176 60.00 60.00 60.00
Element x y z (fractional)
Hf (0.000, 0.000, 0.000)
Zn (0.500, 0.500, 0.500)
Co (0.250, 0.250, 0.250)
Co (0.750, 0.750, 0.750)



10.
The following is a GGA-PBEsol calculation of a geometry-optimized Hf2ZnCo2 structure, from Alexandria via LeMat-Bulk.

DFT total energy	-7.958	eV/atom
ΔH_f (0 K)	-1.7	eV/f.u.
symmetry	No. 127

Lattice parameters (Å, degrees): 6.795 6.795 3.245 90.00 90.00 90.00
Element x y z (fractional)
Hf (0.171, 0.329, 0.000)
Hf (0.329, 0.829, 0.000)
Hf (0.671, 0.171, 0.000)
Hf (0.829, 0.671, 0.000)
Zn (0.000, 0.000, 0.500)
Zn (0.500, 0.500, 0.500)
Co (0.130, 0.630, 0.500)
Co (0.370, 0.130, 0.500)
Co (0.630, 0.870, 0.500)
Co (0.870, 0.370, 0.500)



11.
The following is a GGA-PBEsol calculation of a geometry-optimized HfZrCo2 structure, from Alexandria via LeMat-Bulk.

DFT total energy	-9.117	eV/atom
ΔH_f (0 K)	-1.4	eV/f.u.
symmetry	No. 225

Lattice parameters (Å, degrees): 4.408 4.408 4.408 60.00 60.00 60.00
Element x y z (fractional)
Hf (0.000, 0.000, 0.000)
Zr (0.500, 0.500, 0.500)
Co (0.250, 0.250, 0.250)
Co (0.750, 0.750, 0.750)



12.
The following is a GGA-PBEsol calculation of a geometry-optimized CoHg structure, from Alexandria via LeMat-Bulk.

DFT total energy	-3.749	eV/atom
ΔH_f (0 K)	0.8	eV/f.u.
symmetry	No. 12

Lattice parameters (Å, degrees): 5.123 5.123 4.583 108.12 108.12 32.57
Element x y z (fractional)
Co (0.155, 0.155, 0.370)
Co (0.845, 0.845, 0.630)
Hg (0.394, 0.394, 0.170)
Hg (0.606, 0.606, 0.830)



13.
The following is a GGA-PBEsol calculation of a geometry-optimized Co3Hg structure, from Alexandria via LeMat-Bulk.

DFT total energy	-5.519	eV/atom
ΔH_f (0 K)	1.7	eV/f.u.
symmetry	No. 166

Lattice parameters (Å, degrees): 8.497 8.497 8.497 18.20 18.20 18.20
Element x y z (fractional)
Co (0.000, 0.000, 0.000)
Co (0.260, 0.260, 0.260)
Co (0.740, 0.740, 0.740)
Hg (0.500, 0.500, 0.500)



14.
The following is a GGA-PBEsol calculation of a geometry-optimized Co3Hg structure, from Alexandria via LeMat-Bulk.

DFT total energy	-5.500	eV/atom
ΔH_f (0 K)	1.8	eV/f.u.
symmetry	No. 65

Lattice parameters (Å, degrees): 4.445 4.445 2.719 90.00 90.00 107.81
Element x y z (fractional)
Co (0.000, 0.000, 0.000)
Co (0.000, 0.500, 0.500)
Co (0.500, 0.000, 0.500)
Hg (0.500, 0.500, 0.000)



15.
The following is a GGA-PBEsol calculation of a geometry-optimized CoHg2 structure, from Alexandria via LeMat-Bulk.

DFT total energy	-2.004	eV/atom
ΔH_f (0 K)	2.9	eV/f.u.
symmetry	No. 227

Lattice parameters (Å, degrees): 5.483 5.483 5.483 60.00 60.00 60.00
Element x y z (fractional)
Co (0.125, 0.125, 0.125)
Co (0.875, 0.875, 0.875)
Hg (0.000, 0.500, 0.500)
Hg (0.500, 0.000, 0.500)
Hg (0.500, 0.500, 0.000)
Hg (0.500, 0.500, 0.500)



16.
The following is a GGA-PBEsol calculation of a geometry-optimized CoHg structure, from Alexandria via LeMat-Bulk.

DFT total energy	-3.881	eV/atom
ΔH_f (0 K)	0.5	eV/f.u.
symmetry	No. 129

Lattice parameters (Å, degrees): 2.872 2.872 7.536 90.00 90.00 90.00
Element x y z (fractional)
Co (0.250, 0.250, 0.081)
Co (0.750, 0.750, 0.919)
Hg (0.250, 0.250, 0.668)
Hg (0.750, 0.750, 0.332)



17.
The following is a GGA-PBEsol calculation of a geometry-optimized CoHg3 structure, from Alexandria via LeMat-Bulk.

DFT total energy	-2.013	eV/atom
ΔH_f (0 K)	1.4	eV/f.u.
symmetry	No. 166

Lattice parameters (Å, degrees): 9.387 9.387 9.387 18.86 18.86 18.86
Element x y z (fractional)
Co (0.000, 0.000, 0.000)
Hg (0.261, 0.261, 0.261)
Hg (0.500, 0.500, 0.500)
Hg (0.739, 0.739, 0.739)



18.
The following is a GGA-PBEsol calculation of a geometry-optimized In2CoHg structure, from Alexandria via LeMat-Bulk.

DFT total energy	-3.391	eV/atom
ΔH_f (0 K)	0.7	eV/f.u.
symmetry	No. 166

Lattice parameters (Å, degrees): 8.960 8.960 8.960 20.48 20.48 20.48
Element x y z (fractional)
In (0.237, 0.237, 0.237)
In (0.763, 0.763, 0.763)
Co (0.500, 0.500, 0.500)
Hg (0.000, 0.000, 0.000)



19.
The following is a GGA-PBEsol calculation of a geometry-optimized Co2HgIr structure, from Alexandria via LeMat-Bulk.

DFT total energy	-6.076	eV/atom
ΔH_f (0 K)	1.6	eV/f.u.
symmetry	No. 44

Lattice parameters (Å, degrees): 5.148 5.148 5.148 148.51 129.38 60.84
Element x y z (fractional)
Co (0.000, 0.000, 0.000)
Co (0.787, 0.287, 0.500)
Hg (0.264, 0.764, 0.500)
Ir (0.545, 0.545, 0.000)



20.
The following is a GGA-PBEsol calculation of a geometry-optimized Co2HgIr structure, from Alexandria via LeMat-Bulk.

DFT total energy	-6.101	eV/atom
ΔH_f (0 K)	1.5	eV/f.u.
symmetry	No. 160

Lattice parameters (Å, degrees): 8.759 8.759 8.759 17.93 17.93 17.93
Element x y z (fractional)
Co (0.000, 0.000, 0.000)
Co (0.263, 0.263, 0.263)
Hg (0.508, 0.508, 0.508)
Ir (0.744, 0.744, 0.744)



21.
The following is a GGA-PBEsol calculation of a geometry-optimized CoHg2Ir structure, from Alexandria via LeMat-Bulk.

DFT total energy	-4.393	eV/atom
ΔH_f (0 K)	1.1	eV/f.u.
symmetry	No. 99

Lattice parameters (Å, degrees): 2.863 2.863 7.975 90.00 90.00 90.00
Element x y z (fractional)
Co (0.000, 0.000, 0.000)
Hg (0.000, 0.000, 0.555)
Hg (0.500, 0.500, 0.237)
Ir (0.500, 0.500, 0.817)



22.
The following is a GGA-PBEsol calculation of a geometry-optimized CoHg2Ir structure, from Alexandria via LeMat-Bulk.

DFT total energy	-4.149	eV/atom
ΔH_f (0 K)	2.1	eV/f.u.
symmetry	No. 12

Lattice parameters (Å, degrees): 4.726 4.726 4.983 101.14 101.14 36.23
Element x y z (fractional)
Co (0.000, 0.000, 0.000)
Hg (0.254, 0.254, 0.757)
Hg (0.746, 0.746, 0.243)
Ir (0.500, 0.500, 0.500)



23.
The following is a GGA-PBEsol calculation of a geometry-optimized CoHg2Ir structure, from Alexandria via LeMat-Bulk.

DFT total energy	-4.064	eV/atom
ΔH_f (0 K)	2.4	eV/f.u.
symmetry	No. 216

Lattice parameters (Å, degrees): 4.505 4.505 4.505 60.00 60.00 60.00
Element x y z (fractional)
Co (0.000, 0.000, 0.000)
Hg (0.250, 0.250, 0.250)
Hg (0.500, 0.500, 0.500)
Ir (0.750, 0.750, 0.750)



24.
The following is a GGA-PBEsol calculation of a geometry-optimized CoHg4Ir structure, from Alexandria via LeMat-Bulk.

DFT total energy	-2.328	eV/atom
ΔH_f (0 K)	5.9	eV/f.u.
symmetry	No. 216

Lattice parameters (Å, degrees): 5.454 5.454 5.454 60.00 60.00 60.00
Element x y z (fractional)
Co (0.000, 0.000, 0.000)
Hg (0.375, 0.375, 0.375)
Hg (0.375, 0.375, 0.875)
Hg (0.375, 0.875, 0.375)
Hg (0.875, 0.375, 0.375)
Ir (0.750, 0.750, 0.750)



25.
The following is a GGA-PBEsol calculation of a geometry-optimized CoHg2IrPd structure, from Alexandria via LeMat-Bulk.

DFT total energy	-3.386	eV/atom
ΔH_f (0 K)	7.7	eV/f.u.
symmetry	No. 123

Lattice parameters (Å, degrees): 4.913 4.913 4.396 90.00 90.00 90.00
Element x y z (fractional)
Co (0.000, 0.000, 0.000)
Hg (0.000, 0.500, 0.500)
Hg (0.500, 0.000, 0.500)
Ir (0.500, 0.500, 0.000)
Pd (0.000, 0.000, 0.500)



26.
The following is a GGA-PBEsol calculation of a geometry-optimized Tl2CoHgIr structure, from Alexandria via LeMat-Bulk.

DFT total energy	-3.649	eV/atom
ΔH_f (0 K)	5.1	eV/f.u.
symmetry	No. 123

Lattice parameters (Å, degrees): 5.137 5.137 5.172 90.00 90.00 90.00
Element x y z (fractional)
Tl (0.000, 0.500, 0.000)
Tl (0.500, 0.000, 0.000)
Co (0.000, 0.000, 0.500)
Hg (0.500, 0.500, 0.500)
Ir (0.500, 0.500, 0.000)



27.
The following is a GGA-PBEsol calculation of a geometry-optimized KCoHg2 structure, from Alexandria via LeMat-Bulk.

DFT total energy	-2.224	eV/atom
ΔH_f (0 K)	1.1	eV/f.u.
symmetry	No. 123

Lattice parameters (Å, degrees): 3.296 3.296 7.946 90.00 90.00 90.00
Element x y z (fractional)
K (0.000, 0.000, 0.000)
Co (0.000, 0.000, 0.500)
Hg (0.500, 0.500, 0.318)
Hg (0.500, 0.500, 0.682)



The calculation returns the following volume values, one per record and in order: 404; 65; 168; 78; 75; 155; 56; 109; 51; 150; 61; 61; 52; 51; 117; 62; 76; 77; 55; 56; 65; 64; 65; 115; 106; 136; 86 Å³/cell.
The calculation returns the following DOS(E_F) values, one per record and in order: 10.56; 2.35; 8.97; 3.96; 3.45; 11.24; 4.75; 7.31; 0.79; 10.76; 4.22; 5.36; 4.33; 5.43; 11.24; 3.06; 4.03; 2.78; 5.78; 4.56; 3.62; 5.29; 4.48; 8.24; 8.26; 6.04; 4.07 states/eV per cell.